# BeCdRh2

A geometry-optimized BeCdRh2 structure (PBE-GGA, Alexandria via LeMat-Bulk).

As for the formation energy from the elements: 0.058 eV/atom. The total DFT energy (no corrections) is -38.22 eV per cell. Its density of states at the Fermi level is 9.0 states/eV/cell. Its total moment is 0.00 μB/f.u. As for the crystal system: tetragonal. For the volume, the calculation gives 115.6 Å³ per cell.

The space group is I-4m2 (No. 119) and the conventional cell measures 3.8651, 3.8651 and 7.7356 Å, with angles of 90.00, 90.00 and 90.00 degrees. The distinct sites, in fractional coordinates, are Be at (0.0000, 0.0000, 0.0000), Cd at (0.0000, 0.5000, 0.7500), Rh at (0.0000, 0.0000, 0.5000) and Rh at (0.0000, 0.5000, 0.2500).